(1)
Entry from Alexandria: a relaxed structure of LiHo2Hg4 (GGA-PBE).

energy = -2.060 eV/atom
density = 10.78 g cm⁻³
symmetry = R-3m, No. 166
energy above the lowest structure with this stoichiometry = 0 meV per atom
total moment = 0.000 Bohr magnetons per cell

Cell: 8.931 8.931 8.931 Å, 31.78 31.78 31.78°
Fractional coordinates of all 7 atoms:
Li: 0.000 0.000 0.000
Ho: 0.250 0.250 0.250
Ho: 0.750 0.750 0.750
Hg: 0.129 0.129 0.129
Hg: 0.370 0.370 0.370
Hg: 0.630 0.630 0.630
Hg: 0.871 0.871 0.871


(2)
Entry from Alexandria: a relaxed structure of LiHo2Hg (GGA-PBE).

energy = -3.055 eV/atom
density = 8.98 g cm⁻³
symmetry = Fm-3m, No. 225
energy above the lowest structure with this stoichiometry = 18 meV per atom
total moment = 0.001 Bohr magnetons per cell

Cell: 7.352 7.352 7.352 Å, 90.00 90.00 90.00°
Fractional coordinates of all 16 atoms:
Li: 0.000 0.000 0.000
Li: 0.000 0.500 0.500
Li: 0.500 0.000 0.500
Li: 0.500 0.500 0.000
Ho: 0.250 0.250 0.250
Ho: 0.250 0.250 0.750
Ho: 0.250 0.750 0.250
Ho: 0.250 0.750 0.750
Ho: 0.750 0.250 0.250
Ho: 0.750 0.250 0.750
Ho: 0.750 0.750 0.250
Ho: 0.750 0.750 0.750
Hg: 0.000 0.000 0.500
Hg: 0.000 0.500 0.000
Hg: 0.500 0.000 0.000
Hg: 0.500 0.500 0.500


(3)
Entry from Alexandria: a relaxed structure of LiHoHg4 (GGA-PBE).

energy = -1.442 eV/atom
density = 10.44 g cm⁻³
symmetry = C2/m, No. 12
energy above the lowest structure with this stoichiometry = 155 meV per atom
total moment = 0.000 Bohr magnetons per cell

Cell: 6.626 6.620 7.064 Å, 90.00 90.20 90.00°
Fractional coordinates of all 12 atoms:
Li: 0.000 0.000 0.000
Li: 0.500 0.500 0.000
Ho: 0.000 0.500 0.500
Ho: 0.500 0.000 0.500
Hg: 0.249 0.251 0.218
Hg: 0.249 0.749 0.218
Hg: 0.251 0.249 0.782
Hg: 0.251 0.751 0.782
Hg: 0.749 0.249 0.218
Hg: 0.749 0.751 0.218
Hg: 0.751 0.251 0.782
Hg: 0.751 0.749 0.782


(4)
Entry from Alexandria: a relaxed structure of LiHo5Hg6 (GGA-PBE).

energy = -2.682 eV/atom
density = 11.48 g cm⁻³
symmetry = C2/m, No. 12
total moment = 0.000 Bohr magnetons per cell

Cell: 8.982 8.982 5.165 Å, 106.69 106.69 120.19°
Fractional coordinates of all 12 atoms:
Li: 0.000 0.000 0.000
Ho: 0.163 0.837 0.500
Ho: 0.332 0.668 0.000
Ho: 0.500 0.500 0.500
Ho: 0.668 0.332 0.000
Ho: 0.837 0.163 0.500
Hg: 0.081 0.405 0.243
Hg: 0.243 0.243 0.745
Hg: 0.405 0.081 0.243
Hg: 0.595 0.919 0.757
Hg: 0.757 0.757 0.255
Hg: 0.919 0.595 0.757


(5)
Entry from Alexandria: a relaxed structure of LiHo4Hg5 (GGA-PBE).

energy = -2.619 eV/atom
density = 11.41 g cm⁻³
symmetry = P4/mmm, No. 123
total moment = 0.000 Bohr magnetons per cell

Cell: 3.651 3.651 18.237 Å, 90.00 90.00 90.00°
Fractional coordinates of all 10 atoms:
Li: 0.000 0.000 0.000
Ho: 0.000 0.000 0.190
Ho: 0.000 0.000 0.396
Ho: 0.000 0.000 0.604
Ho: 0.000 0.000 0.810
Hg: 0.500 0.500 0.088
Hg: 0.500 0.500 0.294
Hg: 0.500 0.500 0.500
Hg: 0.500 0.500 0.706
Hg: 0.500 0.500 0.912


(6)
Entry from Alexandria: a relaxed structure of Li3Ho2Hg3 (GGA-PBE).

energy = -2.299 eV/atom
density = 8.99 g cm⁻³
symmetry = R3m, No. 160
total moment = 0.000 Bohr magnetons per cell

Cell: 8.633 8.633 8.633 Å, 33.64 33.64 33.64°
Fractional coordinates of all 8 atoms:
Li: 0.000 0.000 0.000
Li: 0.127 0.127 0.127
Li: 0.623 0.623 0.623
Ho: 0.379 0.379 0.379
Ho: 0.873 0.873 0.873
Hg: 0.256 0.256 0.256
Hg: 0.502 0.502 0.502
Hg: 0.744 0.744 0.744